## ZrS2ClO (PBE-GGA)

Data for a relaxed ZrS2ClO crystal.

Unit cell a=4.9944 b=4.9944 c=5.0406 alpha=90.00 beta=90.00 gamma=90.00
Last column: nearest neighbours and their distance in Å.
Space group P4/mmm (No. 123)
Asymmetric unit:
Zr 0.0000 0.0000 0.0000  4 S 2.50, 2 Cl 2.52
S 0.0000 0.5000 0.0000  2 Zr 2.50
Cl 0.0000 0.0000 0.5000  2 Zr 2.52
O 0.5000 0.5000 0.5000  4 Cl 3.53, 8 S 3.55

Output
**Mass density**: 2.73 g/cm³
**Energy relative to the elements, uncorrected**: -0.1820 eV per atom
**Polymorph energy (0 for the lowest one)**: 537 meV per atom
**M_tot**: 2.52 μB per formula unit